# LaWN3 (PBE-GGA, relaxed)
data_LaWN3
_cell_length_a 4.073
_cell_length_b 4.073
_cell_length_c 18.677
_cell_angle_alpha 90.00
_cell_angle_beta 90.00
_cell_angle_gamma 90.00
_space_group_name_H-M_alt 'I -4 m 2'
_space_group_IT_number 119
_space_group_name_Hall 'I -4 -2'
loop_
_atom_site_label
_atom_site_fract_x
_atom_site_fract_y
_atom_site_fract_z
_atom_site_occupancy
La1 0.000 0.000 0.094 1
W1 0.000 0.000 0.500 1
W2 0.000 0.500 0.250 1
N1 0.000 0.163 0.320 1
N2 0.000 0.500 0.501 1
# DOS at the Fermi energy (states/eV per cell): 6.846
# Magnetization (μB per formula unit): 0.00
# ΔE_f (raw) (meV per atom): -427



# LaWN3 (PBE-GGA, relaxed)
data_LaWN3
_cell_length_a 5.444
_cell_length_b 5.504
_cell_length_c 6.006
_cell_angle_alpha 68.27
_cell_angle_beta 88.32
_cell_angle_gamma 61.30
_space_group_name_H-M_alt 'P 1'
_space_group_IT_number 1
_space_group_name_Hall 'P 1'
loop_
_atom_site_label
_atom_site_fract_x
_atom_site_fract_y
_atom_site_fract_z
_atom_site_occupancy
La1 0.000 0.000 0.000 1
La2 0.235 0.557 0.672 1
W1 0.434 0.113 0.336 1
W2 0.776 0.437 0.324 1
N1 0.071 0.384 0.088 1
N2 0.215 0.144 0.587 1
N3 0.390 0.782 0.309 1
N4 0.564 0.392 0.088 1
N5 0.711 0.164 0.587 1
N6 0.835 0.762 0.361 1
# DOS at the Fermi energy (states/eV per cell): 0.000
# Magnetization (μB per formula unit): 0.00
# ΔE_f (raw) (meV per atom): -817



# LaW3N (PBE-GGA, relaxed)
data_LaW3N
_cell_length_a 4.355
_cell_length_b 4.355
_cell_length_c 4.355
_cell_angle_alpha 90.00
_cell_angle_beta 90.00
_cell_angle_gamma 90.00
_space_group_name_H-M_alt 'P m -3 m'
_space_group_IT_number 221
_space_group_name_Hall '-P 4 2 3'
loop_
_atom_site_label
_atom_site_fract_x
_atom_site_fract_y
_atom_site_fract_z
_atom_site_occupancy
La1 0.000 0.000 0.000 1
W1 0.000 0.500 0.500 1
N1 0.500 0.500 0.500 1
# Offset from the most stable computed form (eV per formula unit): 0.00
# DOS at the Fermi energy (states/eV per cell): 3.936
# Magnetization (μB per formula unit): 0.00
# ΔE_f (raw) (meV per atom): 519



# LaWN3 (PBE-GGA, relaxed)
data_LaWN3
_cell_length_a 10.962
_cell_length_b 10.178
_cell_length_c 6.413
_cell_angle_alpha 90.00
_cell_angle_beta 109.00
_cell_angle_gamma 90.00
_space_group_name_H-M_alt 'C 1 2/c 1'
_space_group_IT_number 15
_space_group_name_Hall '-C 2yc'
loop_
_atom_site_label
_atom_site_fract_x
_atom_site_fract_y
_atom_site_fract_z
_atom_site_occupancy
La1 0.000 0.094 0.250 1
La2 0.000 0.307 0.750 1
W1 0.209 0.412 0.248 1
N1 0.114 0.111 0.654 1
N2 0.131 0.257 0.146 1
N3 0.152 0.484 0.485 1
# DOS at the Fermi energy (states/eV per cell): 0.000
# Magnetization (μB per formula unit): 0.00
# ΔE_f (raw) (meV per atom): -1004



# LaW3N (PBE-GGA, relaxed)
data_LaW3N
_cell_length_a 4.823
_cell_length_b 4.823
_cell_length_c 4.823
_cell_angle_alpha 90.00
_cell_angle_beta 90.00
_cell_angle_gamma 90.00
_space_group_name_H-M_alt 'P m -3 m'
_space_group_IT_number 221
_space_group_name_Hall '-P 4 2 3'
loop_
_atom_site_label
_atom_site_fract_x
_atom_site_fract_y
_atom_site_fract_z
_atom_site_occupancy
La1 0.000 0.000 0.000 1
W1 0.000 0.000 0.500 1
N1 0.500 0.500 0.500 1
# Offset from the most stable computed form (eV per formula unit): 18.29
# DOS at the Fermi energy (states/eV per cell): 7.565
# Magnetization (μB per formula unit): 0.00
# ΔE_f (raw) (meV per atom): 4178



# La4WN5 (PBE-GGA, relaxed)
data_La4WN5
_cell_length_a 7.896
_cell_length_b 7.896
_cell_length_c 5.358
_cell_angle_alpha 90.00
_cell_angle_beta 90.00
_cell_angle_gamma 90.00
_space_group_name_H-M_alt 'I 4'
_space_group_IT_number 79
_space_group_name_Hall 'I 4'
loop_
_atom_site_label
_atom_site_fract_x
_atom_site_fract_y
_atom_site_fract_z
_atom_site_occupancy
La1 0.109 0.694 0.000 1
W1 0.000 0.000 0.564 1
N1 0.000 0.000 0.910 1
N2 0.087 0.750 0.501 1
# DOS at the Fermi energy (states/eV per cell): 7.789
# Magnetization (μB per formula unit): 0.00
# ΔE_f (raw) (meV per atom): -1114



# LaWN3 (PBE-GGA, relaxed)
data_LaWN3
_cell_length_a 10.616
_cell_length_b 11.134
_cell_length_c 5.181
_cell_angle_alpha 90.00
_cell_angle_beta 90.55
_cell_angle_gamma 90.00
_space_group_name_H-M_alt 'C 1 2/c 1'
_space_group_IT_number 15
_space_group_name_Hall '-C 2yc'
loop_
_atom_site_label
_atom_site_fract_x
_atom_site_fract_y
_atom_site_fract_z
_atom_site_occupancy
La1 0.227 0.111 0.307 1
W1 0.000 0.192 0.750 1
W2 0.000 0.423 0.250 1
N1 0.073 0.281 0.471 1
N2 0.116 0.474 0.974 1
N3 0.135 0.098 0.853 1
# DOS at the Fermi energy (states/eV per cell): 0.000
# Magnetization (μB per formula unit): 0.00
# ΔE_f (raw) (meV per atom): -886



# LaWN3 (PBE-GGA, relaxed)
data_LaWN3
_cell_length_a 5.405
_cell_length_b 12.466
_cell_length_c 5.298
_cell_angle_alpha 90.00
_cell_angle_beta 90.00
_cell_angle_gamma 90.00
_space_group_name_H-M_alt 'C 2 2 21'
_space_group_IT_number 20
_space_group_name_Hall 'C 2c 2'
loop_
_atom_site_label
_atom_site_fract_x
_atom_site_fract_y
_atom_site_fract_z
_atom_site_occupancy
La1 0.000 0.160 0.250 1
W1 0.000 0.422 0.250 1
N1 0.200 0.500 0.500 1
N2 0.204 0.327 0.095 1
# DOS at the Fermi energy (states/eV per cell): 0.000
# Magnetization (μB per formula unit): 0.00
# ΔE_f (raw) (meV per atom): -938



# LaWN3 (PBE-GGA, relaxed)
data_LaWN3
_cell_length_a 5.5684
_cell_length_b 5.5684
_cell_length_c 15.7300
_cell_angle_alpha 90.00
_cell_angle_beta 90.00
_cell_angle_gamma 120.00
_space_group_name_H-M_alt 'R -3'
_space_group_IT_number 148
_space_group_name_Hall '-R 3'
loop_
_atom_site_label
_atom_site_fract_x
_atom_site_fract_y
_atom_site_fract_z
_atom_site_occupancy
La1 0.0000 0.0000 0.1273 1
W1 0.0000 0.0000 0.3543 1
N1 0.0073 0.4231 0.9235 1
# DOS at the Fermi energy (states/eV per cell): 0.000
# Magnetization (μB per formula unit): 0.00
# ΔE_f (raw) (meV per atom): -844



# LaWN3 (PBE-GGA, relaxed)
data_LaWN3
_cell_length_a 3.522
_cell_length_b 3.522
_cell_length_c 22.910
_cell_angle_alpha 90.00
_cell_angle_beta 90.00
_cell_angle_gamma 90.00
_space_group_name_H-M_alt 'I -4 m 2'
_space_group_IT_number 119
_space_group_name_Hall 'I -4 -2'
loop_
_atom_site_label
_atom_site_fract_x
_atom_site_fract_y
_atom_site_fract_z
_atom_site_occupancy
La1 0.000 0.000 0.000 1
La2 0.000 0.500 0.250 1
W1 0.000 0.500 0.631 1
N1 0.000 0.000 0.323 1
N2 0.000 0.313 0.101 1
# DOS at the Fermi energy (states/eV per cell): 5.988
# Magnetization (μB per formula unit): 0.00
# ΔE_f (raw) (meV per atom): -197



# La4W3N10 (PBE-GGA, relaxed)
data_La4W3N10
_cell_length_a 4.017
_cell_length_b 4.017
_cell_length_c 28.746
_cell_angle_alpha 90.00
_cell_angle_beta 90.00
_cell_angle_gamma 90.00
_space_group_name_H-M_alt 'I 4/m m m'
_space_group_IT_number 139
_space_group_name_Hall '-I 4 2'
loop_
_atom_site_label
_atom_site_fract_x
_atom_site_fract_y
_atom_site_fract_z
_atom_site_occupancy
La1 0.000 0.000 0.068 1
La2 0.000 0.000 0.202 1
W1 0.000 0.000 0.358 1
W2 0.000 0.000 0.500 1
N1 0.000 0.000 0.288 1
N2 0.000 0.000 0.430 1
N3 0.000 0.500 0.000 1
N4 0.000 0.500 0.140 1
# DOS at the Fermi energy (states/eV per cell): 6.264
# Magnetization (μB per formula unit): 0.00
# ΔE_f (raw) (meV per atom): -1036



# LaWN3 (PBE-GGA, relaxed)
data_LaWN3
_cell_length_a 5.521
_cell_length_b 5.532
_cell_length_c 4.560
_cell_angle_alpha 90.00
_cell_angle_beta 90.84
_cell_angle_gamma 90.00
_space_group_name_H-M_alt 'C 1 m 1'
_space_group_IT_number 8
_space_group_name_Hall 'C -2y'
loop_
_atom_site_label
_atom_site_fract_x
_atom_site_fract_y
_atom_site_fract_z
_atom_site_occupancy
La1 0.000 0.000 0.000 1
W1 0.004 0.500 0.546 1
N1 0.242 0.247 0.652 1
N2 0.499 0.000 0.149 1
# DOS at the Fermi energy (states/eV per cell): 0.538
# Magnetization (μB per formula unit): 0.00
# ΔE_f (raw) (meV per atom): -998



These records have volume values of 15.5; 14.4; 16.5; 16.9; 22.4; 16.7; 15.3; 17.8; 14.1; 14.2; 13.6; 13.9 Å³ per atom, in the order they appear.